[1]
DFT (PBE) results for a relaxed Tb3PmDy2P6 crystal.

E_tot ... -79.52 eV/cell

Cell: 6.995 6.995 6.996 Å, 99.59 99.59 119.99°
Sites, in units of the cell vectors:
Tb 0.000 0.000 0.000
Tb 0.334 0.666 0.000
Tb 0.666 0.334 0.000
Pm 0.500 0.500 0.500
Dy 0.167 0.833 0.500
Dy 0.833 0.167 0.500
P 0.079 0.416 0.249
P 0.246 0.246 0.751
P 0.416 0.079 0.249
P 0.584 0.921 0.751
P 0.754 0.754 0.249
P 0.921 0.584 0.751

---

[2]
DFT (PBE) results for a relaxed LuNi3 crystal.

E_tot ... -23.26 eV/cell

Cell: 3.797 3.797 3.797 Å, 90.00 90.00 90.00°
Sites, in units of the cell vectors:
Lu 0.000 0.000 0.000
Ni 0.000 0.500 0.500
Ni 0.500 0.000 0.500
Ni 0.500 0.500 0.000

---

[3]
DFT (PBE) results for a relaxed CeTh2Sc4 crystal.

E_tot ... -44.12 eV/cell

Cell: 6.462 6.405 7.770 Å, 53.19 52.52 74.28°
Sites, in units of the cell vectors:
Ce 0.000 0.000 0.000
Th 0.144 0.144 0.356
Th 0.644 0.644 0.856
Sc 0.118 0.592 0.408
Sc 0.277 0.596 0.723
Sc 0.592 0.118 0.882
Sc 0.596 0.277 0.404

---

[4]
DFT (PBE) results for a relaxed Ho2ThSn crystal.

E_tot ... -20.44 eV/cell

Cell: 11.972 11.972 11.972 Å, 16.93 16.93 16.93°
Sites, in units of the cell vectors:
Ho 0.088 0.088 0.088
Ho 0.912 0.912 0.912
Th 0.500 0.500 0.500
Sn 0.000 0.000 0.000

---

[5]
DFT (PBE) results for a relaxed Ba2FeNiCl crystal.

Energy relative to the elements, uncorrected ... -1.3 eV per formula unit
E_tot ... -21.22 eV/cell

Cell: 5.924 5.924 4.328 Å, 90.00 90.00 90.00°
Sites, in units of the cell vectors:
Ba 0.000 0.500 0.000
Ba 0.500 0.000 0.000
Fe 0.000 0.000 0.000
Ni 0.000 0.000 0.500
Cl 0.500 0.500 0.500

---

[6]
DFT (PBE) results for a relaxed Th4Bi2AsC crystal.

E_tot ... -56.76 eV/cell

Cell: 7.355 4.156 7.788 Å, 90.00 107.68 90.00°
Sites, in units of the cell vectors:
Th 0.209 0.000 0.193
Th 0.238 0.500 0.797
Th 0.762 0.500 0.203
Th 0.791 0.000 0.807
Bi 0.000 0.000 0.500
Bi 0.500 0.500 0.500
As 0.500 0.000 0.000
C 0.000 0.500 0.000